First-principles (PBE+U) data for a geometry-optimized MgV4H8O14 structure, as listed in Alexandria via LeMat-Bulk.

Electronic total energy (eV per cell): -170.89
Magnetization (μB/f.u.): 2.000
Space group: P-1

a = 6.416 Å, b = 6.636 Å, c = 8.062 Å
α = 87.41°, β = 67.63°, γ = 78.62°
Each line ends with the local moment (μB).
Atoms (fractional coordinates):
1 H 0.412 0.278 0.489  0.00
2 H 0.705 0.582 0.329  0.00
3 H 0.203 0.833 0.507  0.00
4 O 0.883 0.872 0.997  -0.02
5 O 0.338 0.864 0.684  -0.10
6 O 0.177 0.389 0.243  -0.01
7 V 0.223 0.832 0.902  1.05
8 H 0.588 0.722 0.511  0.00
9 O 0.268 0.359 0.574  0.00
10 O 0.148 0.769 0.428  0.00
11 V 0.280 0.316 0.028  0.08
12 O 0.251 0.528 0.897  -0.02
13 V 0.777 0.168 0.098  1.05
14 O 0.117 0.128 0.003  -0.02
15 Mg 0.000 0.500 0.500  0.00
16 O 0.574 0.207 0.963  -0.02
17 O 0.823 0.611 0.757  -0.01
18 O 0.732 0.641 0.426  0.00
19 V 0.720 0.684 0.972  0.08
20 O 0.662 0.136 0.316  -0.10
21 H 0.246 0.788 0.303  0.00
22 O 0.426 0.793 0.037  -0.02
23 H 0.295 0.418 0.671  0.00
24 H 0.754 0.212 0.697  0.00
25 O 0.852 0.231 0.572  0.00
26 H 0.797 0.167 0.493  0.00
27 O 0.749 0.472 0.103  -0.02